Record 1
# Pu3As2Rh6 | Alexandria via LeMat-Bulk | PBE | relaxed
# Total moment in μB per atom: 1.32
# Crystal system: cubic
# Symmetry: No. 229
# Formation energy in eV/atom: -0.546
# Total DFT energy (no corrections) in eV for the cell shown: -204.82
data_Pu3As2Rh6
_chemical_formula_sum 'Pu6 As4 Rh12'
_cell_length_a 7.971
_cell_length_b 7.971
_cell_length_c 7.971
_cell_angle_alpha 109.47
_cell_angle_beta 109.47
_cell_angle_gamma 109.47
_symmetry_space_group_name_H-M 'P 1'
_symmetry_Int_Tables_number 1
loop_
_symmetry_equiv_pos_as_xyz
'x,y,z'
loop_
_atom_site_label
_atom_site_fract_x
_atom_site_fract_y
_atom_site_fract_z
_atom_site_occupancy
Pu1 0.000 0.267 0.267 1
Pu2 0.000 0.733 0.733 1
Pu3 0.267 0.000 0.267 1
Pu4 0.267 0.267 0.000 1
Pu5 0.733 0.000 0.733 1
Pu6 0.733 0.733 0.000 1
As1 0.000 0.000 0.500 1
As2 0.000 0.500 0.000 1
As3 0.500 0.000 0.000 1
As4 0.500 0.500 0.500 1
Rh1 0.000 0.351 0.649 1
Rh2 0.000 0.649 0.351 1
Rh3 0.299 0.649 0.649 1
Rh4 0.351 0.000 0.649 1
Rh5 0.351 0.351 0.701 1
Rh6 0.351 0.649 0.000 1
Rh7 0.351 0.701 0.351 1
Rh8 0.649 0.000 0.351 1
Rh9 0.649 0.299 0.649 1
Rh10 0.649 0.351 0.000 1
Rh11 0.649 0.649 0.299 1
Rh12 0.701 0.351 0.351 1

=====

Record 2
# Li2CuAu | Alexandria via LeMat-Bulk | PBE | relaxed
# Total moment in μB per atom: 0.00
# Crystal system: monoclinic
# Symmetry: No. 10
# Formation energy in eV/atom: -0.279
# Total DFT energy (no corrections) in eV for the cell shown: -12.32
data_Li2CuAu
_chemical_formula_sum 'Li2 Cu1 Au1'
_cell_length_a 2.806
_cell_length_b 3.730
_cell_length_c 5.488
_cell_angle_alpha 90.00
_cell_angle_beta 91.84
_cell_angle_gamma 90.00
_symmetry_space_group_name_H-M 'P 1'
_symmetry_Int_Tables_number 1
loop_
_symmetry_equiv_pos_as_xyz
'x,y,z'
loop_
_atom_site_label
_atom_site_fract_x
_atom_site_fract_y
_atom_site_fract_z
_atom_site_occupancy
Li1 0.003 0.000 0.253 1
Li2 0.997 0.000 0.747 1
Cu1 0.500 0.500 0.500 1
Au1 0.500 0.500 0.000 1

=====

Record 3
# KCe2MgCl8 | Alexandria via LeMat-Bulk | PBE | relaxed
# Total moment in μB per atom: 0.25
# Crystal system: triclinic
# Symmetry: No. 2
# Uncorrected formation energy in eV per atom: -1.9964
# Total DFT energy (no corrections) in eV for the cell shown: -53.29
data_KCe2MgCl8
_chemical_formula_sum 'K1 Ce2 Mg1 Cl8'
_cell_length_a 6.494
_cell_length_b 6.672
_cell_length_c 8.546
_cell_angle_alpha 90.19
_cell_angle_beta 90.06
_cell_angle_gamma 92.39
_symmetry_space_group_name_H-M 'P 1'
_symmetry_Int_Tables_number 1
loop_
_symmetry_equiv_pos_as_xyz
'x,y,z'
loop_
_atom_site_label
_atom_site_fract_x
_atom_site_fract_y
_atom_site_fract_z
_atom_site_occupancy
K1 0.000 0.000 0.000 1
Ce1 0.500 0.499 0.270 1
Ce2 0.500 0.501 0.730 1
Mg1 0.000 0.000 0.500 1
Cl1 0.217 0.169 0.708 1
Cl2 0.218 0.168 0.293 1
Cl3 0.255 0.695 0.500 1
Cl4 0.291 0.646 0.000 1
Cl5 0.709 0.354 0.000 1
Cl6 0.745 0.305 0.500 1
Cl7 0.782 0.832 0.707 1
Cl8 0.783 0.831 0.292 1

=====

Record 4
# OsSe | Alexandria via LeMat-Bulk | PBE | relaxed
# Total moment in μB per atom: 0.00
# Crystal system: orthorhombic
# Symmetry: No. 59
# Uncorrected formation energy in eV per atom: 0.5393
# Total DFT energy (no corrections) in eV for the cell shown: -81.81
data_OsSe
_chemical_formula_sum 'Os6 Se6'
_cell_length_a 2.986
_cell_length_b 13.264
_cell_length_c 6.170
_cell_angle_alpha 90.00
_cell_angle_beta 90.00
_cell_angle_gamma 90.00
_symmetry_space_group_name_H-M 'P 1'
_symmetry_Int_Tables_number 1
loop_
_symmetry_equiv_pos_as_xyz
'x,y,z'
loop_
_atom_site_label
_atom_site_fract_x
_atom_site_fract_y
_atom_site_fract_z
_atom_site_occupancy
Os1 0.250 0.078 0.027 1
Os2 0.250 0.422 0.027 1
Os3 0.250 0.750 0.444 1
Os4 0.750 0.250 0.556 1
Os5 0.750 0.578 0.973 1
Os6 0.750 0.922 0.973 1
Se1 0.250 0.250 0.867 1
Se2 0.250 0.602 0.662 1
Se3 0.250 0.898 0.662 1
Se4 0.750 0.102 0.338 1
Se5 0.750 0.398 0.338 1
Se6 0.750 0.750 0.133 1

=====

Record 5
# Ac4Y3ErBi8 | Alexandria via LeMat-Bulk | PBE | relaxed
# Total moment in μB per atom: 0.00
# Crystal system: trigonal
# Symmetry: No. 166
# Formation energy in eV/atom: -0.923
# Total DFT energy (no corrections) in eV for the cell shown: -86.21
data_Ac4Y3ErBi8
_chemical_formula_sum 'Ac4 Y3 Er1 Bi8'
_cell_length_a 9.349
_cell_length_b 9.349
_cell_length_c 9.349
_cell_angle_alpha 60.14
_cell_angle_beta 60.14
_cell_angle_gamma 60.14
_symmetry_space_group_name_H-M 'P 1'
_symmetry_Int_Tables_number 1
loop_
_symmetry_equiv_pos_as_xyz
'x,y,z'
loop_
_atom_site_label
_atom_site_fract_x
_atom_site_fract_y
_atom_site_fract_z
_atom_site_occupancy
Ac1 0.000 0.000 0.000 1
Ac2 0.000 0.500 0.500 1
Ac3 0.500 0.000 0.500 1
Ac4 0.500 0.500 0.000 1
Y1 0.000 0.000 0.500 1
Y2 0.000 0.500 0.000 1
Y3 0.500 0.000 0.000 1
Er1 0.500 0.500 0.500 1
Bi1 0.243 0.243 0.243 1
Bi2 0.243 0.742 0.742 1
Bi3 0.258 0.258 0.757 1
Bi4 0.258 0.757 0.258 1
Bi5 0.742 0.243 0.742 1
Bi6 0.742 0.742 0.243 1
Bi7 0.757 0.258 0.258 1
Bi8 0.757 0.757 0.757 1

=====

Record 6
# Cs2ZnO | Alexandria via LeMat-Bulk | PBE | relaxed
# Total moment in μB per atom: 0.00
# Crystal system: tetragonal
# Symmetry: No. 122
# Uncorrected formation energy in eV per atom: -0.4080
# Total DFT energy (no corrections) in eV for the cell shown: -19.14
data_Cs2ZnO
_chemical_formula_sum 'Cs4 Zn2 O2'
_cell_length_a 7.415
_cell_length_b 7.415
_cell_length_c 7.415
_cell_angle_alpha 106.40
_cell_angle_beta 106.40
_cell_angle_gamma 115.81
_symmetry_space_group_name_H-M 'P 1'
_symmetry_Int_Tables_number 1
loop_
_symmetry_equiv_pos_as_xyz
'x,y,z'
loop_
_atom_site_label
_atom_site_fract_x
_atom_site_fract_y
_atom_site_fract_z
_atom_site_occupancy
Cs1 0.027 0.125 0.402 1
Cs2 0.375 0.973 0.098 1
Cs3 0.723 0.625 0.598 1
Cs4 0.875 0.277 0.902 1
Zn1 0.250 0.750 0.500 1
Zn2 0.500 0.500 0.000 1
O1 0.000 0.000 0.000 1
O2 0.750 0.250 0.500 1